A geometry-optimized Cs2NaGa3F12 structure, computed with PBE.

Calculated volume, Å³ per atom: 16.53
Mass density, g/cm3: 4.052
D(E_F), states/eV per atom: 0.000
Raw total energy, eV for the cell shown: -84.46

Lattice parameters (Å, degrees): 7.5002 7.5002 7.5002 59.88 59.88 59.88
Element x y z (fractional)
1 Cs 0.6229 0.6229 0.6229
2 Cs 0.3771 0.3771 0.3771
3 Na 0.0000 0.0000 0.0000
4 Ga 0.5000 0.0000 0.0000
5 Ga 0.0000 0.5000 0.0000
6 Ga 0.0000 0.0000 0.5000
7 F 0.3026 0.3026 0.9185
8 F 0.9128 0.9128 0.3736
9 F 0.3736 0.9128 0.9128
10 F 0.9185 0.3026 0.3026
11 F 0.9128 0.3736 0.9128
12 F 0.3026 0.9185 0.3026
13 F 0.6974 0.6974 0.0815
14 F 0.0872 0.0872 0.6264
15 F 0.6264 0.0872 0.0872
16 F 0.0815 0.6974 0.6974
17 F 0.0872 0.6264 0.0872
18 F 0.6974 0.0815 0.6974

=====

A geometry-optimized Cs4Na2ScGaF12 structure, computed with PBE.

Calculated volume, Å³ per atom: 18.46
Mass density, g/cm3: 4.138
D(E_F), states/eV per atom: 0.000
Raw total energy, eV for the cell shown: -99.31

Lattice parameters (Å, degrees): 11.0549 11.0549 11.0549 33.64 33.64 33.64
Element x y z (fractional)
1 Cs 0.7189 0.7189 0.7189
2 Cs 0.2811 0.2811 0.2811
3 Cs 0.8715 0.8715 0.8715
4 Cs 0.1285 0.1285 0.1285
5 Na 0.5956 0.5956 0.5956
6 Na 0.4044 0.4044 0.4044
7 Sc 0.0000 0.0000 0.0000
8 Ga 0.5000 0.5000 0.5000
9 F 0.3965 0.8178 0.3965
10 F 0.3965 0.3965 0.8178
11 F 0.8178 0.3965 0.3965
12 F 0.6035 0.1822 0.6035
13 F 0.6035 0.6035 0.1822
14 F 0.1822 0.6035 0.6035
15 F 0.1890 0.7346 0.1890
16 F 0.1890 0.1890 0.7346
17 F 0.7346 0.1890 0.1890
18 F 0.8110 0.2654 0.8110
19 F 0.8110 0.8110 0.2654
20 F 0.2654 0.8110 0.8110

=====

A geometry-optimized CsGaO2F structure, computed with PBE.

Calculated volume, Å³ per atom: 15.10
Mass density, g/cm3: 5.578
D(E_F), states/eV per atom: 0.305
Raw total energy, eV for the cell shown: -23.21

Lattice parameters (Å, degrees): 3.9466 3.9466 4.8479 90.00 90.00 90.00
Last column: magnetic moment on the atom in μB.
Element x y z (fractional)
1 Cs 0.5000 0.5000 0.5000  0.01
2 O 0.0000 0.5000 0.0000  0.42
3 O 0.5000 0.0000 0.0000  0.42
4 Ga 0.0000 0.0000 0.0000  -0.03
5 F 0.0000 0.0000 0.5000  0.00

=====

> The highest raw total energy belongs to which entry?

CsGaO2F

=====

> Look up the raw total energy of the third one.

-23.21 eV for the cell shown